(1)
LiZrW, optimized geometry, DFT PBE; total energy = -6.74 eV/atom; total magnetic moment = 0.00 μB/f.u.; E_form = 1.064 eV/atom; SG = F-43m
1.0
0.000 2.998 2.998
2.998 0.000 2.998
2.998 2.998 0.000
Li Zr W
1 1 1
Direct
0.000 0.000 0.000 Li
0.750 0.750 0.750 Zr
0.250 0.250 0.250 W

(2)
Cs12Rb6Au, optimized geometry, DFT PBE; total energy = -1.03 eV/atom; total magnetic moment = 0.00 μB/f.u.; E_form = -0.010 eV/atom; SG = R-3
1.0
8.879 5.126 7.141
-8.879 5.126 7.141
0.000 -10.253 7.141
Cs Rb Au
12 6 1
Direct
0.029 0.288 0.960 Cs
0.040 0.971 0.712 Cs
0.234 0.744 0.383 Cs
0.256 0.617 0.766 Cs
0.288 0.960 0.029 Cs
0.383 0.234 0.744 Cs
0.617 0.766 0.256 Cs
0.712 0.040 0.971 Cs
0.744 0.383 0.234 Cs
0.766 0.256 0.617 Cs
0.960 0.029 0.288 Cs
0.971 0.712 0.040 Cs
0.125 0.357 0.441 Rb
0.357 0.441 0.125 Rb
0.441 0.125 0.357 Rb
0.559 0.875 0.643 Rb
0.643 0.559 0.875 Rb
0.875 0.643 0.559 Rb
0.000 0.000 0.000 Au

> E_form of number 1 (LiZrW)?

1.064 eV/atom